# 1
Here is crystalline Cu5Pd7Au at its relaxed geometry from Alexandria via LeMat-Bulk. Energies are from GGA-PBE.

```
Cu5Pd7Au
1.0
-2.439 4.350 4.498
2.439 -4.350 4.498
2.439 4.350 -4.498
Cu Pd Au
5 7 1
Cartesian
0.000 0.000 0.000
1.216 2.140 -0.151
3.662 2.140 -0.151
-1.223 2.210 4.347
1.223 2.210 4.347
2.439 2.711 -2.433
0.000 1.639 2.064
0.000 0.000 4.171
2.439 2.984 2.123
0.000 4.350 0.796
0.000 4.350 3.449
0.000 1.366 6.621
2.439 0.000 1.961
```

Properties
Magnetic moment: 0.00 μB/atom
E_form: -0.03 eV/atom
E_tot: -60.5 eV/cell

---

# 2
Here is crystalline Cu5Pd2Au5 at its relaxed geometry from Alexandria via LeMat-Bulk. Energies are from GGA-PBE.

```
Cu5Pd2Au5
1.0
6.322 -2.256 0.000
6.322 2.256 0.000
-3.790 0.000 6.410
Cu Pd Au
5 2 5
Cartesian
0.000 0.000 0.000
-0.527 0.000 2.541
2.163 0.000 1.415
6.691 0.000 4.995
9.381 0.000 3.869
-1.035 0.000 5.166
9.888 0.000 1.244
1.637 0.000 4.089
4.955 0.000 0.461
4.427 0.000 3.205
3.899 0.000 5.949
7.216 0.000 2.321
```

Properties
Magnetic moment: 0.00 μB/atom
E_form: -0.04 eV/atom
Offset from the most stable computed form: 24 meV per atom
E_tot: -47.8 eV/cell

---

# 3
Here is crystalline Cu5PdAu6 at its relaxed geometry from Alexandria via LeMat-Bulk. Energies are from GGA-PBE.

```
Cu5PdAu6
1.0
2.041 -6.123 0.000
2.041 6.123 0.000
-0.031 0.000 7.389
Cu Pd Au
5 1 6
Cartesian
0.000 0.000 0.000
2.041 2.053 0.000
2.025 2.014 3.694
2.025 -2.014 3.694
2.041 -2.053 0.000
-0.015 0.000 3.694
2.033 4.055 1.824
2.018 4.055 5.565
2.034 0.000 1.750
2.017 0.000 5.639
2.033 -4.055 1.824
2.018 -4.055 5.565
```

Properties
Magnetic moment: 0.00 μB/atom
E_form: -0.06 eV/atom
Offset from the most stable computed form: 4 meV per atom
E_tot: -46.1 eV/cell

---

# 4
Here is crystalline CuPd5Au at its relaxed geometry from Alexandria via LeMat-Bulk. Energies are from GGA-PBE.

```
CuPd5Au
1.0
3.445 -3.769 0.000
3.445 3.769 0.000
-3.421 0.000 8.636
Cu Pd Au
2 10 2
Cartesian
0.879 1.889 6.477
2.590 -1.889 2.159
-1.476 0.442 5.668
0.234 -0.442 1.350
0.658 0.771 3.973
2.590 0.652 2.159
-1.052 -0.771 8.291
4.522 0.771 0.345
0.879 -0.652 6.477
2.811 -0.771 4.662
3.235 0.442 7.286
4.946 -0.442 2.968
1.723 1.885 0.000
0.012 -1.885 4.318
```

Properties
Magnetic moment: 0.00 μB/atom
E_form: 0.08 eV/atom
Offset from the most stable computed form: 0 meV per atom
E_tot: -65.5 eV/cell